1.
A plane-wave DFT calculation with PBE-GGA was carried out for a relaxed structure of MgAg2Se2.

Properties
The energy above the most stable polymorph in this dataset is 56 meV/atom. The calculated total energy comes out at -30.74 eV/cell. As for the uncorrected formation energy: -1.11 eV per formula unit.

abc: 3.8691 3.8691 14.4560
angles: 90.00 90.00 90.00
Space group I4/mmm (No. 139)
Unique sites:
Mg: 0.0000 0.0000 0.0000 x2
Ag: 0.0000 0.5000 0.2500 x4
Se: 0.0000 0.0000 0.3932 x4

---

2.
A plane-wave DFT calculation with PBE-GGA was carried out for a relaxed structure of MgAg2Se.

Properties
The energy above the most stable polymorph in this dataset is 128 meV/atom. The calculated total energy comes out at -46.24 eV/cell. As for the uncorrected formation energy: -0.78 eV per formula unit.

abc: 5.4927 5.5453 10.8311
angles: 90.00 90.00 90.00
Space group Fmmm (No. 69)
Unique sites:
Mg: 0.0000 0.0000 0.0000 x4
Ag: 0.2500 0.0000 0.2500 x8
Se: 0.0000 0.0000 0.5000 x4

---

3.
A plane-wave DFT calculation with PBE-GGA was carried out for a relaxed structure of MgAg2Se.

Properties
The energy above the most stable polymorph in this dataset is 42 meV/atom. The calculated total energy comes out at -11.91 eV/cell. As for the uncorrected formation energy: -1.13 eV per formula unit.

abc: 3.9680 5.1608 3.9804
angles: 90.00 91.33 90.00
Space group P2/m (No. 10)
Unique sites:
Mg: 0.0000 0.0000 0.0000 x1
Ag: 0.2455 0.5000 0.2454 x2
Se: 0.5000 0.0000 0.5000 x1